[1]
Material: MnOsN2
Method: DFT, PBE-GGA
State: relaxed

```
MnOsN2
1.0
0.000 2.672 2.672
2.672 0.000 2.672
2.672 2.672 0.000
Mn Os N
1 1 2
Direct
0.000 0.000 0.000
0.500 0.500 0.500
0.250 0.250 0.250
0.750 0.750 0.750
```

As for the uncorrected formation energy: 0.980 eV per atom. As for the energy above the most stable polymorph in this dataset: 805.3 meV per atom.

[2]
Material: Mn2OsN3
Method: DFT, PBE-GGA
State: relaxed

```
Mn2OsN3
1.0
2.747 -4.396 0.000
2.747 4.396 0.000
0.000 0.000 4.942
Mn Os N
4 2 6
Direct
0.031 0.391 0.023
0.391 0.031 0.023
0.969 0.609 0.523
0.609 0.969 0.523
0.641 0.641 0.938
0.359 0.359 0.438
0.945 0.269 0.384
0.269 0.945 0.384
0.055 0.731 0.884
0.731 0.055 0.884
0.712 0.712 0.334
0.288 0.288 0.834
```

As for the uncorrected formation energy: 0.033 eV per atom.

[3]
Material: MnOsN2
Method: DFT, PBE-GGA
State: relaxed

```
MnOsN2
1.0
5.182 0.000 0.000
0.000 5.213 0.000
0.000 0.000 6.352
Mn Os N
4 4 8
Direct
0.627 0.994 0.883
0.373 0.494 0.117
0.873 0.494 0.383
0.127 0.994 0.617
0.561 0.000 0.338
0.439 0.500 0.662
0.939 0.500 0.838
0.061 0.000 0.162
0.589 0.348 0.917
0.411 0.848 0.083
0.911 0.848 0.417
0.089 0.348 0.583
0.538 0.380 0.367
0.462 0.880 0.633
0.962 0.880 0.867
0.038 0.380 0.133
```

As for the uncorrected formation energy: 0.257 eV per atom. As for the energy above the most stable polymorph in this dataset: 82.0 meV per atom.

[4]
Material: MnOsN2
Method: DFT, PBE-GGA
State: relaxed

```
MnOsN2
1.0
4.460 0.000 0.000
0.000 4.460 0.000
2.230 2.230 4.457
Mn Os N
2 2 4
Direct
0.500 0.500 0.000
0.250 0.750 0.500
0.000 0.000 0.000
0.750 0.250 0.500
0.605 0.125 0.250
0.145 0.625 0.250
0.375 0.395 0.750
0.875 0.855 0.750
```

As for the uncorrected formation energy: 0.175 eV per atom. As for the energy above the most stable polymorph in this dataset: 0.0 meV per atom.

[5]
Material: MnOsN2
Method: DFT, PBE-GGA
State: relaxed

```
MnOsN2
1.0
0.148 6.436 1.067
2.551 5.666 1.991
2.200 6.110 -0.636
Mn Os N
1 1 2
Direct
0.500 0.500 0.500
0.000 0.000 0.000
0.897 0.897 0.897
0.103 0.103 0.103
```

As for the uncorrected formation energy: 0.226 eV per atom. As for the energy above the most stable polymorph in this dataset: 51.0 meV per atom.

[6]
Material: Pa2MnOsN6
Method: DFT, PBE-GGA
State: relaxed

```
Pa2MnOsN6
1.0
3.993 0.000 0.000
0.000 5.534 0.000
0.000 0.000 5.534
Pa Mn Os N
2 1 1 6
Direct
0.003 0.500 0.000
0.003 0.000 0.500
0.608 0.500 0.500
0.658 0.000 0.000
0.708 0.259 0.259
0.708 0.259 0.741
0.173 0.500 0.500
0.167 0.000 0.000
0.708 0.741 0.741
0.708 0.741 0.259
```

As for the uncorrected formation energy: -0.547 eV per atom.

[7]
Material: Pa2MnOsN5
Method: DFT, PBE-GGA
State: relaxed

```
Pa2MnOsN5
1.0
3.246 0.000 0.000
-1.623 6.494 0.000
0.000 0.000 10.078
Pa Mn Os N
4 2 2 10
Direct
0.844 0.688 0.806
0.097 0.194 0.674
0.156 0.312 0.306
0.903 0.806 0.174
0.789 0.579 0.519
0.211 0.421 0.019
0.529 0.058 0.953
0.471 0.942 0.453
0.366 0.732 0.998
0.678 0.356 0.874
0.482 0.964 0.769
0.272 0.544 0.661
0.932 0.864 0.569
0.634 0.268 0.498
0.322 0.644 0.374
0.518 0.036 0.269
0.728 0.456 0.161
0.068 0.136 0.069
```

As for the uncorrected formation energy: -0.806 eV per atom.

[8]
Material: Mn2ReOsN
Method: DFT, PBE-GGA
State: relaxed

```
Mn2ReOsN
1.0
-2.537 -2.646 1.050
2.838 -2.244 1.204
-0.227 1.651 3.612
Re Mn Os N
1 2 1 1
Direct
0.000 0.000 0.500
0.000 0.500 0.000
0.500 0.000 0.000
0.500 0.500 0.500
0.000 0.000 0.000
```

As for the uncorrected formation energy: 0.077 eV per atom.

[9]
Material: MnOsS2N
Method: DFT, PBE-GGA
State: relaxed

```
MnOsS2N
1.0
4.841 0.000 0.000
0.000 4.841 0.000
0.000 0.000 3.672
S Mn Os N
2 1 1 1
Direct
0.000 0.500 0.000
0.500 0.000 0.000
0.500 0.500 0.500
0.000 0.000 0.000
0.000 0.000 0.500
```

As for the uncorrected formation energy: 0.452 eV per atom. As for the energy above the most stable polymorph in this dataset: 0.0 meV per atom.

[10]
Material: MnOsS2N
Method: DFT, PBE-GGA
State: relaxed

```
MnOsS2N
1.0
4.572 0.000 0.000
0.000 4.572 0.000
0.000 0.000 3.347
S Mn Os N
2 1 1 1
Direct
0.000 0.500 0.000
0.500 0.000 0.000
0.000 0.000 0.000
0.500 0.500 0.500
0.000 0.000 0.500
```

As for the uncorrected formation energy: 0.900 eV per atom. As for the energy above the most stable polymorph in this dataset: 448.5 meV per atom.

[11]
Material: Mn2OsSN
Method: DFT, PBE-GGA
State: relaxed

```
Mn2OsSN
1.0
3.676 0.000 0.000
0.000 4.662 0.000
0.000 0.000 3.676
S Mn Os N
1 2 1 1
Direct
0.000 0.500 0.000
0.000 0.000 0.500
0.500 0.000 0.000
0.500 0.500 0.500
0.000 0.000 0.000
```

As for the uncorrected formation energy: 0.604 eV per atom.

[12]
Material: Mn2SbOsN
Method: DFT, PBE-GGA
State: relaxed

```
Mn2SbOsN
1.0
-4.602 -0.759 -1.801
1.916 -2.164 -3.984
-0.178 -4.426 2.319
Sb Mn Os N
1 2 1 1
Direct
0.000 0.500 0.000
0.000 0.000 0.500
0.500 0.000 0.000
0.000 0.000 0.000
0.500 0.500 0.500
```

As for the uncorrected formation energy: 1.714 eV per atom.